A geometry-optimized AcHoTh2 structure. Source: Alexandria via LeMat-Bulk, functional PBE.

Calculated values
* ρ: 10.1 g/cm³
* total magnetic moment: 0.00 μB/f.u.
* energy of formation: 0.215 eV/atom
* ΔE to the lowest computed polymorph: 101.1 meV/atom
* DOS(E_F): 1.600 states/eV per atom

a = 4.2352 Å, b = 4.2352 Å, c = 7.8160 Å
α = 90.00°, β = 90.00°, γ = 90.00°
Atoms (fractional coordinates):
Ac 0.0000 0.0000 0.0000
Ho 0.0000 0.0000 0.5000
Th 0.5000 0.5000 0.2841
Th 0.5000 0.5000 0.7159